1.
The following is a DFT calculation (PBE) of a relaxed LiTc2Br crystal.

Cell: 5.102 5.102 2.912 Å, 90.00 90.00 122.25°
Atoms (fractional coordinates):
Br (0.500, 0.000, 0.500)
Li (0.000, 0.500, 0.500)
Tc (0.000, 0.000, 0.000)
Tc (0.500, 0.500, 0.000)

Results
Formation energy (no corrections): 0.824 eV/atom
Crystal system: orthorhombic
N(E_F): 4.137 states/eV per cell
Energy above the most stable polymorph in this dataset: 788 meV/atom

---

2.
The following is a DFT calculation (PBE) of a relaxed KYCr3 crystal.

Cell: 5.065 5.065 5.065 Å, 90.00 90.00 90.00°
Atoms (fractional coordinates):
Y (0.500, 0.500, 0.500)
Cr (0.000, 0.500, 0.000)
Cr (0.000, 0.000, 0.500)
Cr (0.500, 0.000, 0.000)
K (0.000, 0.000, 0.000)

Results
Energy of formation: 1.9895 eV per atom
Crystal system: cubic
N(E_F): 8.259 states/eV per cell
Energy above the most stable polymorph in this dataset: 230 meV/atom

---

3.
The following is a DFT calculation (PBE) of a relaxed KHPt2 crystal.

Cell: 4.581 4.581 4.581 Å, 60.00 60.00 60.00°
Atoms (fractional coordinates):
H (0.000, 0.000, 0.000)
K (0.500, 0.500, 0.500)
Pt (0.250, 0.250, 0.250)
Pt (0.750, 0.750, 0.750)

Results
Crystal system: cubic
N(E_F): 2.658 states/eV per cell
Energy above the most stable polymorph in this dataset: 1345 meV/atom

---

4.
The following is a DFT calculation (PBE) of a relaxed RhSe2Cl crystal.

Cell: 4.785 4.785 3.784 Å, 90.00 90.00 116.26°
Atoms (fractional coordinates):
Cl (0.500, 0.000, 0.500)
Rh (0.000, 0.500, 0.500)
Se (0.000, 0.000, 0.000)
Se (0.500, 0.500, 0.000)

Results
Formation energy (no corrections): 0.484 eV/atom
Crystal system: orthorhombic
N(E_F): 2.501 states/eV per cell
Energy above the most stable polymorph in this dataset: 825 meV/atom